A geometry-optimized NdGdDy structure. Source: Alexandria, functional GGA-PBE.

Values from the calculation:
Energy of formation from the pure elements ... 0.02 eV/atom
Total energy ... -7.80 eV/atom
Energy above the most stable polymorph in this dataset ... 0 meV/atom

a = 3.6093 Å, b = 3.6093 Å, c = 8.8002 Å
α = 90.00°, β = 90.00°, γ = 120.00°
Element x y z (fractional)
Nd (0.0000, 0.0000, 0.0000)
Gd (0.6667, 0.3333, 0.3392)
Dy (0.3333, 0.6667, 0.6676)

=====

A geometry-optimized HgRh2 structure. Source: Alexandria, functional GGA-PBE.

Values from the calculation:
Energy of formation from the pure elements ... 0.25 eV/atom
Total energy ... -4.76 eV/atom

a = 10.4178 Å, b = 2.8602 Å, c = 6.7882 Å
α = 90.00°, β = 104.03°, γ = 90.00°
Element x y z (fractional)
Hg (0.0000, 0.0000, 0.0000)
Hg (0.1809, 0.5000, 0.3434)
Hg (0.5000, 0.5000, 0.0000)
Hg (0.6809, 0.0000, 0.3434)
Rh (0.0566, 0.0000, 0.6190)
Rh (0.2272, 0.5000, 0.9347)
Rh (0.3356, 0.0000, 0.6728)
Rh (0.4040, 0.0000, 0.3014)
Rh (0.5566, 0.5000, 0.6190)
Rh (0.7272, 0.0000, 0.9347)
Rh (0.8356, 0.5000, 0.6728)
Rh (0.9040, 0.5000, 0.3014)